The following is a PBE-GGA calculation of crystalline Tb4Mg5Pd2 at its relaxed geometry, from Alexandria via LeMat-Bulk.

```
data_Tb4Mg5Pd2
_chemical_formula_sum 'Tb4 Mg5 Pd2'
_space_group_name_H-M_alt 'P 1 2/m 1'
_space_group_IT_number 10
_space_group_name_Hall '-P 2y'
_cell_length_a 7.906
_cell_length_b 3.606
_cell_length_c 9.909
_cell_angle_alpha 90.00
_cell_angle_beta 92.93
_cell_angle_gamma 90.00
loop_
_atom_site_label
_atom_site_fract_x
_atom_site_fract_y
_atom_site_fract_z
_atom_site_occupancy
Tb1 0.163 0.000 0.357 1
Tb2 0.220 0.000 0.948 1
Mg1 0.189 0.500 0.656 1
Mg2 0.448 0.500 0.181 1
Mg3 0.500 0.500 0.500 1
Pd1 0.067 0.500 0.142 1
```

Calculated values
- E (eV/atom) = -3.70
- energy of formation from the pure elements (eV/atom) = -0.3459